(w)
VASP calculation (PBE-GGA) on a geometry-optimized Mg2Se2O7 structure.

a b c (Å): 5.2557 5.5960 10.9221
angles (deg): 90.00 90.00 112.37
Element x y z (fractional)
Mg  0.5399  0.9171  0.1426
Mg  0.4601  0.5829  0.6426
Mg  0.4601  0.0829  0.8574
Mg  0.5399  0.4171  0.3574
Se  0.8264  0.6925  0.9042
Se  0.1736  0.3075  0.0958
Se  0.8264  0.1925  0.5958
Se  0.1736  0.8075  0.4042
O  0.0000  0.0000  0.5000
O  0.0000  0.5000  0.0000
O  0.3584  0.1249  0.0418
O  0.6416  0.3751  0.5418
O  0.6416  0.8751  0.9582
O  0.3584  0.6249  0.4582
O  0.0643  0.3910  0.6906
O  0.0643  0.8910  0.8094
O  0.9357  0.1090  0.1906
O  0.9357  0.6090  0.3094
O  0.5843  0.9699  0.6910
O  0.5843  0.4699  0.8090
O  0.4157  0.5301  0.1910
O  0.4157  0.0301  0.3090


(x)
VASP calculation (PBE-GGA) on a geometry-optimized Mg2Se2O7 structure.

a b c (Å): 5.0976 5.7347 5.7347
angles (deg): 95.03 107.19 107.19
Element x y z (fractional)
Mg  0.5000  0.3135  0.6865
Mg  0.5000  0.6865  0.3135
Se  0.1183  0.7942  0.7942
Se  0.8817  0.2058  0.2058
O  0.3023  0.6080  0.9344
O  0.6977  0.0656  0.3920
O  0.6977  0.3920  0.0656
O  0.3023  0.9344  0.6080
O  0.2120  0.4119  0.4119
O  0.0000  0.0000  0.0000
O  0.7880  0.5881  0.5881


Energy ordering: (w) at the bottom, the next structure 45 meV/atom above.


(w)
VASP calculation (PBE-GGA) on a geometry-optimized Mg3SeO6 structure.

a b c (Å): 5.9612 5.9612 5.9612
angles (deg): 90.77 90.77 90.77
Element x y z (fractional)
Mg  0.4437  0.9316  0.7506
Mg  0.9316  0.7506  0.4437
Mg  0.2494  0.5563  0.0684
Mg  0.7506  0.4437  0.9316
Mg  0.0684  0.2494  0.5563
Mg  0.5563  0.0684  0.2494
Se  0.0000  0.0000  0.0000
Se  0.5000  0.5000  0.5000
O  0.2924  0.9331  0.0669
O  0.0669  0.9331  0.7076
O  0.5809  0.7925  0.4549
O  0.9331  0.7076  0.0669
O  0.4549  0.5809  0.7925
O  0.2075  0.5451  0.4191
O  0.7925  0.4549  0.5809
O  0.5451  0.4191  0.2075
O  0.0669  0.2924  0.9331
O  0.4191  0.2075  0.5451
O  0.9331  0.0669  0.2924
O  0.7076  0.0669  0.9331


(x)
VASP calculation (PBE-GGA) on a geometry-optimized Mg3SeO6 structure.

a b c (Å): 5.7257 6.7999 6.7999
angles (deg): 104.64 90.00 90.00
Element x y z (fractional)
Mg  0.5401  0.8665  0.7041
Mg  0.0401  0.7041  0.8665
Mg  0.5421  0.4488  0.5512
Mg  0.0421  0.5512  0.4488
Mg  0.0401  0.1335  0.2959
Mg  0.5401  0.2959  0.1335
Se  0.9583  0.1863  0.8137
Se  0.4583  0.8137  0.1863
O  0.2917  0.6658  0.6652
O  0.7917  0.6652  0.6658
O  0.0696  0.4120  0.9206
O  0.5696  0.9206  0.4120
O  0.0232  0.0334  0.9666
O  0.6589  0.1972  0.8028
O  0.1589  0.8028  0.1972
O  0.5232  0.9666  0.0334
O  0.0696  0.0794  0.5880
O  0.5696  0.5880  0.0794
O  0.2917  0.3348  0.3342
O  0.7917  0.3342  0.3348


Energy ordering: (w) at the bottom, the next structure 144 meV/atom above.


(w)
VASP calculation (PBE-GGA) on a geometry-optimized MgSi3O structure.

a b c (Å): 4.8396 4.8396 4.8396
angles (deg): 90.00 90.00 90.00
Site moments in Bohr magnetons follow the coordinates.
Element x y z (fractional)
Si  0.0000  0.5000  0.0000  -0.01
Si  0.0000  0.0000  0.5000  -0.02
Si  0.5000  0.0000  0.0000  -0.02
Mg  0.0000  0.0000  0.0000  0.00
O  0.5000  0.5000  0.5000  0.54


(x)
VASP calculation (PBE-GGA) on a geometry-optimized MgSi3O structure.

a b c (Å): 4.2328 4.2328 4.2328
angles (deg): 90.00 90.00 90.00
Element x y z (fractional)
Si  0.0000  0.5000  0.0000
Si  0.0000  0.0000  0.5000
Si  0.5000  0.0000  0.0000
Mg  0.5000  0.5000  0.5000
O  0.0000  0.0000  0.0000


Energy ordering: (x) at the bottom, the next structure 1444 meV/atom above.